Record 1
Compound: LiNbF2
Source: Alexandria via LeMat-Bulk
Functional: PBE-GGA
Structure: relaxed

abc: 2.9340 2.9340 21.3603
angles: 90.00 90.00 120.00
Space group R-3m (No. 166, hexagonal axes)
One atom of each set of equivalent atoms:
Li 0.0000 0.0000 0.0000 (multiplicity 3)
Nb 0.0000 0.0000 0.5000 (multiplicity 3)
F 0.0000 0.0000 0.0920 (multiplicity 6)

ΔE_f (raw): -1571 meV/atom
Total moment: 0.0 Bohr magnetons per cell
Uncorrected energy: -5.503 eV/atom
Crystal system: trigonal
E above lowest polymorph: 0.581 eV/atom

***

Record 2
Compound: Li3NbF
Source: Alexandria via LeMat-Bulk
Functional: PBE-GGA
Structure: relaxed

abc: 5.388 5.388 5.388
angles: 90.00 90.00 90.00
Space group Pm-3m (No. 221)
One atom of each set of equivalent atoms:
Li 0.000 0.000 0.500 (multiplicity 3)
Nb 0.000 0.000 0.000 (multiplicity 1)
F 0.500 0.500 0.500 (multiplicity 1)

ΔE_f (raw): 787 meV/atom
Total moment: 5.0 Bohr magnetons per cell
Uncorrected energy: -2.750 eV/atom
Crystal system: cubic
E above lowest polymorph: 1.112 eV/atom

***

Record 3
Compound: Li2NbF
Source: Alexandria via LeMat-Bulk
Functional: PBE-GGA
Structure: relaxed

abc: 6.628 6.628 6.628
angles: 90.00 90.00 90.00
Space group Fm-3m (No. 225)
One atom of each set of equivalent atoms:
Li 0.250 0.250 0.250 (multiplicity 8)
Nb 0.000 0.000 0.000 (multiplicity 4)
F 0.000 0.000 0.500 (multiplicity 4)

ΔE_f (raw): 417 meV/atom
Total moment: 18.1 Bohr magnetons per cell
Uncorrected energy: -3.525 eV/atom
Crystal system: cubic
E above lowest polymorph: 0.897 eV/atom

***

Record 4
Compound: LiNbF2
Source: Alexandria via LeMat-Bulk
Functional: PBE-GGA
Structure: relaxed

abc: 4.913 4.913 8.517
angles: 90.00 90.00 90.00
Space group I-42d (No. 122)
One atom of each set of equivalent atoms:
Li 0.000 0.000 0.000 (multiplicity 4)
Nb 0.000 0.000 0.500 (multiplicity 4)
F 0.170 0.250 0.125 (multiplicity 8)

ΔE_f (raw): -1467 meV/atom
Total moment: 0.0 Bohr magnetons per cell
Uncorrected energy: -5.399 eV/atom
Crystal system: tetragonal
E above lowest polymorph: 0.685 eV/atom